1.
The following is a PBE calculation of an optimized crystal structure of NaGd2Co, from the Alexandria database.

Cell lengths 3.844, 3.844, 30.863 Å; angles 90.00, 90.00, 120.00 degrees
Positions (direct):
Na 0.000 0.000 0.000
Na 0.333 0.667 0.667
Na 0.667 0.333 0.333
Gd 0.000 0.000 0.119
Gd 0.000 0.000 0.881
Gd 0.333 0.667 0.547
Gd 0.333 0.667 0.786
Gd 0.667 0.333 0.214
Gd 0.667 0.333 0.453
Co 0.000 0.000 0.500
Co 0.333 0.667 0.167
Co 0.667 0.333 0.833

## Properties
D(E_F): 0.76 states/eV per atom
calculated formation energy: 0.021 eV/atom
V: 395.0 Å³/cell
E above lowest polymorph: 0.042 eV per atom

2.
The following is a PBE calculation of an optimized crystal structure of NaGdCo4, from the Alexandria database.

Cell lengths 5.042, 5.042, 5.042 Å; angles 60.00, 60.00, 60.00 degrees
Positions (direct):
Na 0.000 0.000 0.000
Gd 0.750 0.750 0.750
Co 0.375 0.375 0.375
Co 0.375 0.375 0.875
Co 0.375 0.875 0.375
Co 0.875 0.375 0.375

## Properties
D(E_F): 1.29 states/eV per atom
calculated formation energy: 0.112 eV/atom
V: 90.6 Å³/cell

3.
The following is a PBE calculation of an optimized crystal structure of NaGd2Co, from the Alexandria database.

Cell lengths 3.386, 3.386, 9.486 Å; angles 90.00, 90.00, 90.00 degrees
Positions (direct):
Na 0.000 0.000 0.000
Gd 0.500 0.500 0.329
Gd 0.500 0.500 0.671
Co 0.000 0.000 0.500

## Properties
D(E_F): 0.96 states/eV per atom
calculated formation energy: -0.021 eV/atom
V: 108.7 Å³/cell
E above lowest polymorph: 0.000 eV per atom

4.
The following is a PBE calculation of an optimized crystal structure of GdNbCo2, from the Alexandria database.

Cell lengths 4.635, 4.635, 3.048 Å; angles 90.00, 90.00, 90.00 degrees
Positions (direct):
Gd 0.000 0.000 0.000
Nb 0.500 0.500 0.000
Co 0.000 0.500 0.500
Co 0.500 0.000 0.500

## Properties
D(E_F): 1.03 states/eV per atom
calculated formation energy: 0.071 eV/atom
V: 65.5 Å³/cell
E above lowest polymorph: 0.155 eV per atom

5.
The following is a PBE calculation of an optimized crystal structure of GdNbCo2, from the Alexandria database.

Cell lengths 3.117, 3.117, 6.887 Å; angles 90.00, 90.00, 90.00 degrees
Positions (direct):
Gd 0.000 0.000 0.000
Nb 0.000 0.000 0.500
Co 0.500 0.500 0.304
Co 0.500 0.500 0.696

## Properties
D(E_F): 1.13 states/eV per atom
calculated formation energy: -0.083 eV/atom
V: 66.9 Å³/cell
E above lowest polymorph: 0.000 eV per atom

6.
The following is a PBE calculation of an optimized crystal structure of GdNbCoOs, from the Alexandria database.

Cell lengths 6.535, 6.535, 6.535 Å; angles 90.00, 90.00, 90.00 degrees
Positions (direct):
Gd 0.000 0.000 0.000
Gd 0.000 0.500 0.500
Gd 0.500 0.000 0.500
Gd 0.500 0.500 0.000
Nb 0.000 0.000 0.500
Nb 0.000 0.500 0.000
Nb 0.500 0.000 0.000
Nb 0.500 0.500 0.500
Co 0.250 0.250 0.250
Co 0.250 0.750 0.750
Co 0.750 0.250 0.750
Co 0.750 0.750 0.250
Os 0.250 0.250 0.750
Os 0.250 0.750 0.250
Os 0.750 0.250 0.250
Os 0.750 0.750 0.750

## Properties
D(E_F): 0.59 states/eV per atom
calculated formation energy: -0.002 eV/atom
V: 279.1 Å³/cell

Question: The lowest V belongs to which entry?
Answer: number 4